# 1
4
Lattice="2.038 1.177 4.979 -2.038 1.177 4.979 0.000 -2.354 4.979" Properties=species:S:1:pos:R:3 comment="UGa2Co PBE optimized geometry" dft_energy_ev_per_cell=-24.64 pbc="T T T"
U 0.000 0.000 0.000
Ga 0.000 0.000 3.191
Ga 0.000 0.000 11.747
Co 0.000 0.000 7.469

---

# 2
5
Lattice="5.005 0.000 0.000 0.000 5.005 0.000 0.000 0.000 5.171" Properties=species:S:1:pos:R:3 comment="CdRePAu2 PBE optimized geometry" dft_energy_ev_per_cell=-15.62 pbc="T T T"
Cd 0.000 0.000 0.000
Re 0.000 0.000 2.586
P 2.503 2.503 2.586
Au 0.000 2.503 0.000
Au 2.503 0.000 0.000

---

# 3
4
Lattice="1.646 0.951 10.468 -1.646 0.951 10.468 0.000 -1.901 10.468" Properties=species:S:1:pos:R:3 comment="Pr2ZrF PBE optimized geometry" dft_energy_ev_per_cell=-23.19 formation_energy_uncorrected_ev_per_atom=-0.8033 pbc="T T T"
Pr 0.000 0.000 3.254
Pr 0.000 0.000 28.150
Zr 0.000 0.000 0.000
F 0.000 0.000 15.702

---

# 4
12
Lattice="2.777 1.603 9.006 -2.777 1.603 9.006 0.000 -3.207 9.006" Properties=species:S:1:pos:R:3 comment="Pr3BiPt8 PBE optimized geometry" dft_energy_ev_per_cell=-76.99 pbc="T T T"
Pr 0.000 0.000 0.000
Pr 0.000 0.000 3.487
Pr 0.000 0.000 16.624
Bi 0.000 0.000 13.173
Pt -1.408 -0.813 10.596
Pt 0.000 -1.618 6.209
Pt -1.401 0.809 6.209
Pt 0.000 0.000 8.411
Pt 1.408 -0.813 10.596
Pt 0.000 1.626 10.596
Pt 1.401 0.809 6.209
Pt 0.000 0.000 21.930